1.
Crystalline Tb8Er6Mg at its relaxed geometry. Source: the Alexandria database, functional GGA-PBE.

Structure (POSCAR):
```
Tb8Er6Mg
1.0
9.3481 0.0000 0.0000
-4.6740 8.0957 0.0000
0.0000 0.0000 6.2390
Tb Er Mg
8 6 1
direct
0.0388 0.7688 0.1853 Tb
0.2312 0.2700 0.1853 Tb
0.2700 0.0388 0.8147 Tb
0.3333 0.6667 0.1828 Tb
0.6667 0.3333 0.8172 Tb
0.7300 0.9612 0.1853 Tb
0.7688 0.7300 0.8147 Tb
0.9612 0.2312 0.8147 Tb
0.0933 0.6408 0.6827 Er
0.3592 0.4525 0.6827 Er
0.4525 0.0933 0.3173 Er
0.5475 0.9067 0.6827 Er
0.6408 0.5475 0.3173 Er
0.9067 0.3592 0.3173 Er
0.0000 0.0000 0.5000 Mg
```

DFT formation energy in eV/atom: 0.148
Crystal system: trigonal
E above lowest polymorph in eV/atom: 0.0442

***

2.
Crystalline Tb7Er4Mg at its relaxed geometry. Source: the Alexandria database, functional GGA-PBE.

Structure (POSCAR):
```
Tb7Er4Mg
1.0
3.5343 0.0000 0.0000
-1.7671 3.0608 0.0000
0.0000 0.0000 34.2554
Tb Er Mg
7 4 1
direct
0.0000 0.0000 0.0000 Tb
0.0000 0.0000 0.2532 Tb
0.0000 0.0000 0.7468 Tb
0.3333 0.6667 0.1681 Tb
0.3333 0.6667 0.4207 Tb
0.6667 0.3333 0.5793 Tb
0.6667 0.3333 0.8319 Tb
0.3333 0.6667 0.6626 Er
0.3333 0.6667 0.9159 Er
0.6667 0.3333 0.0841 Er
0.6667 0.3333 0.3374 Er
0.0000 0.0000 0.5000 Mg
```

DFT formation energy in eV/atom: 0.021
Crystal system: trigonal
E above lowest polymorph in eV/atom: 0.0000

***

3.
Crystalline Tb5Er2Mg at its relaxed geometry. Source: the Alexandria database, functional GGA-PBE.

Structure (POSCAR):
```
Tb5Er2Mg
1.0
3.5609 0.0000 0.0000
0.0089 8.6076 0.0000
1.7797 2.5938 16.0778
Tb Er Mg
10 4 2
direct
0.0474 0.4897 0.4076 Tb
0.0774 0.1318 0.3470 Tb
0.1292 0.7822 0.2433 Tb
0.2059 0.4677 0.0892 Tb
0.3257 0.8814 0.8475 Tb
0.6743 0.1186 0.1525 Tb
0.7941 0.5323 0.9108 Tb
0.8708 0.2178 0.7567 Tb
0.9226 0.8682 0.6530 Tb
0.9526 0.5103 0.5924 Tb
0.2704 0.1783 0.9586 Er
0.4803 0.1907 0.5399 Er
0.5197 0.8093 0.4601 Er
0.7296 0.8217 0.0414 Er
0.3750 0.5585 0.7481 Mg
0.6250 0.4415 0.2519 Mg
```

DFT formation energy in eV/atom: 0.049
Crystal system: triclinic
E above lowest polymorph in eV/atom: 0.0000

***

4.
Crystalline Tb2Er8Mg at its relaxed geometry. Source: the Alexandria database, functional GGA-PBE.

Structure (POSCAR):
```
Tb2Er8Mg
1.0
9.5856 -2.7498 0.0000
9.5856 2.7498 0.0000
-0.5132 0.0000 6.3474
Tb Er Mg
2 8 1
direct
0.2427 0.2427 0.3341 Tb
0.7573 0.7573 0.6659 Tb
0.0458 0.0458 0.2631 Er
0.1522 0.1522 0.8103 Er
0.3390 0.3390 0.8742 Er
0.4210 0.4210 0.4045 Er
0.5790 0.5790 0.5955 Er
0.6610 0.6610 0.1258 Er
0.8478 0.8478 0.1897 Er
0.9542 0.9542 0.7369 Er
0.5000 0.5000 0.0000 Mg
```

DFT formation energy in eV/atom: 0.035
Crystal system: monoclinic
E above lowest polymorph in eV/atom: 0.0000

***

5.
Crystalline Tb2Er2Mg at its relaxed geometry. Source: the Alexandria database, functional GGA-PBE.

Structure (POSCAR):
```
Tb2Er2Mg
1.0
3.5486 0.0000 0.0000
0.0000 3.5486 0.0000
0.0000 0.0000 23.5937
Tb Er Mg
4 4 2
direct
0.0000 0.0000 0.0944 Tb
0.0000 0.0000 0.9056 Tb
0.5000 0.5000 0.4056 Tb
0.5000 0.5000 0.5944 Tb
0.0000 0.0000 0.3022 Er
0.0000 0.0000 0.6978 Er
0.5000 0.5000 0.1978 Er
0.5000 0.5000 0.8022 Er
0.0000 0.0000 0.5000 Mg
0.5000 0.5000 0.0000 Mg
```

DFT formation energy in eV/atom: -0.015
Crystal system: tetragonal
E above lowest polymorph in eV/atom: 0.0000

***

6.
Crystalline Tb4ErMg2 at its relaxed geometry. Source: the Alexandria database, functional GGA-PBE.

Structure (POSCAR):
```
Tb4ErMg2
1.0
2.7195 1.5701 7.9970
-2.7195 1.5701 7.9970
0.0000 -3.1402 7.9970
Tb Er Mg
4 1 2
direct
0.0737 0.0737 0.0737 Tb
0.3454 0.3454 0.3454 Tb
0.6546 0.6546 0.6546 Tb
0.9263 0.9263 0.9263 Tb
0.5000 0.5000 0.5000 Er
0.2106 0.2106 0.2106 Mg
0.7894 0.7894 0.7894 Mg
```

DFT formation energy in eV/atom: -0.016
Crystal system: trigonal
E above lowest polymorph in eV/atom: 0.0000

***

7.
Crystalline Tb5ErMg at its relaxed geometry. Source: the Alexandria database, functional GGA-PBE.

Structure (POSCAR):
```
Tb5ErMg
1.0
5.5197 -3.2521 0.0000
5.5197 3.2521 0.0000
-1.8262 0.0000 12.3100
Tb Er Mg
10 2 2
direct
0.1841 0.3000 0.6680 Tb
0.2031 0.7969 0.7500 Tb
0.2890 0.3916 0.9375 Tb
0.3000 0.1841 0.1680 Tb
0.3916 0.2890 0.4375 Tb
0.6084 0.7110 0.5625 Tb
0.7000 0.8159 0.8320 Tb
0.7110 0.6084 0.0625 Tb
0.7969 0.2031 0.2500 Tb
0.8159 0.7000 0.3320 Tb
0.2866 0.7134 0.2500 Er
0.7134 0.2866 0.7500 Er
0.0000 0.0000 0.0000 Mg
0.0000 0.0000 0.5000 Mg
```

DFT formation energy in eV/atom: 0.183
Crystal system: monoclinic

***

8.
Crystalline TbEr3Mg7 at its relaxed geometry. Source: the Alexandria database, functional GGA-PBE.

Structure (POSCAR):
```
TbEr3Mg7
1.0
5.3602 -5.0614 0.0000
5.3602 5.0614 0.0000
-1.8456 0.0000 5.7628
Tb Er Mg
1 3 7
direct
0.0000 0.0000 0.0000 Tb
0.3086 0.6914 0.5000 Er
0.5000 0.5000 0.0000 Er
0.6914 0.3086 0.5000 Er
0.0000 0.0000 0.5000 Mg
0.0639 0.5497 0.8097 Mg
0.2627 0.2627 0.4801 Mg
0.4503 0.9361 0.1903 Mg
0.5497 0.0639 0.8097 Mg
0.7373 0.7373 0.5199 Mg
0.9361 0.4503 0.1903 Mg
```

DFT formation energy in eV/atom: 0.201
Crystal system: monoclinic

***

9.
Crystalline Tb2Er2Mg at its relaxed geometry. Source: the Alexandria database, functional GGA-PBE.

Structure (POSCAR):
```
Tb2Er2Mg
1.0
-2.5317 2.5317 12.6704
2.5317 -2.5317 12.6704
2.5317 2.5317 -12.6704
Tb Er Mg
4 4 2
direct
0.0502 0.3001 0.7500 Tb
0.3001 0.0502 0.2500 Tb
0.6998 0.9498 0.7500 Tb
0.9498 0.6998 0.2500 Tb
0.2052 0.4552 0.7500 Er
0.4552 0.2052 0.2500 Er
0.5448 0.7948 0.7500 Er
0.7948 0.5448 0.2500 Er
0.3750 0.6250 0.7500 Mg
0.6250 0.3750 0.2500 Mg
```

DFT formation energy in eV/atom: 0.208
Crystal system: tetragonal
E above lowest polymorph in eV/atom: 0.2232

***

10.
Crystalline Tb8Er6Mg at its relaxed geometry. Source: the Alexandria database, functional GGA-PBE.

Structure (POSCAR):
```
Tb8Er6Mg
1.0
4.4737 2.5829 6.7718
-4.4737 2.5829 6.7718
0.0000 -5.1658 6.7718
Tb Er Mg
8 6 1
direct
0.0762 0.0762 0.0762 Tb
0.2151 0.6081 0.2485 Tb
0.2485 0.2151 0.6081 Tb
0.3919 0.7515 0.7849 Tb
0.6081 0.2485 0.2151 Tb
0.7515 0.7849 0.3919 Tb
0.7849 0.3919 0.7515 Tb
0.9238 0.9238 0.9238 Tb
0.0468 0.6037 0.7359 Er
0.2641 0.9532 0.3963 Er
0.3963 0.2641 0.9532 Er
0.6037 0.7359 0.0468 Er
0.7359 0.0468 0.6037 Er
0.9532 0.3963 0.2641 Er
0.5000 0.5000 0.5000 Mg
```

DFT formation energy in eV/atom: 0.104
Crystal system: trigonal
E above lowest polymorph in eV/atom: 0.0000

***

11.
Crystalline Tb3Er2Mg2 at its relaxed geometry. Source: the Alexandria database, functional GGA-PBE.

Structure (POSCAR):
```
Tb3Er2Mg2
1.0
5.2389 0.0000 0.0000
0.0000 22.9110 0.0000
0.0000 0.0000 3.4607
Tb Er Mg
6 4 4
direct
0.0000 0.0000 0.0000 Tb
0.0000 0.1507 0.0000 Tb
0.0000 0.8493 0.0000 Tb
0.5000 0.3493 0.0000 Tb
0.5000 0.5000 0.0000 Tb
0.5000 0.6507 0.0000 Tb
0.0000 0.2882 0.5000 Er
0.0000 0.7118 0.5000 Er
0.5000 0.2118 0.5000 Er
0.5000 0.7882 0.5000 Er
0.0000 0.4310 0.5000 Mg
0.0000 0.5690 0.5000 Mg
0.5000 0.0690 0.5000 Mg
0.5000 0.9310 0.5000 Mg
```

DFT formation energy in eV/atom: 0.038
Crystal system: orthorhombic

***

12.
Crystalline TbErMg5 at its relaxed geometry. Source: the Alexandria database, functional GGA-PBE.

Structure (POSCAR):
```
TbErMg5
1.0
6.3383 0.0000 0.0000
0.0000 9.7262 0.0000
-2.2596 0.0000 6.1567
Tb Er Mg
2 2 10
direct
0.0000 0.0000 0.0000 Tb
0.5000 0.5000 0.0000 Tb
0.0000 0.5000 0.5000 Er
0.5000 0.0000 0.5000 Er
0.0000 0.0000 0.5000 Mg
0.2046 0.2872 0.2264 Mg
0.2046 0.7128 0.2264 Mg
0.2954 0.2128 0.7736 Mg
0.2954 0.7872 0.7736 Mg
0.5000 0.5000 0.5000 Mg
0.7046 0.2128 0.2264 Mg
0.7046 0.7872 0.2264 Mg
0.7954 0.2872 0.7736 Mg
0.7954 0.7128 0.7736 Mg
```

DFT formation energy in eV/atom: 0.108
Crystal system: monoclinic